No. 1
This record from Alexandria via LeMat-Bulk describes Pa2CoOsN5 after structural relaxation. The functional is PBE.

```
Pa2CoOsN5
1.0
3.3710 0.0000 0.0000
-1.6855 6.7042 0.0000
0.0000 0.0000 9.2124
Pa Co Os N
4 2 2 10
Direct
0.8769 0.7538 0.8188
0.1247 0.2493 0.6951
0.1231 0.2462 0.3188
0.8753 0.7507 0.1951
0.5591 0.1181 0.9583
0.4410 0.8819 0.4583
0.8030 0.6060 0.5154
0.1970 0.3940 0.0154
0.3476 0.6952 0.0104
0.6916 0.3833 0.8740
0.5008 0.0016 0.7696
0.3016 0.6033 0.6641
0.9866 0.9731 0.5182
0.6524 0.3048 0.5104
0.3084 0.6167 0.3740
0.4992 0.9984 0.2696
0.6984 0.3967 0.1641
0.0134 0.0269 0.0182
```

Summary:
As for the density of states at the Fermi level: 0.677 states/eV/atom.



No. 2
This record from Alexandria via LeMat-Bulk describes Cs4SI after structural relaxation. The functional is PBE.

```
Cs4SI
1.0
-5.1366 2.6583 -1.8316
-2.6097 -1.3935 5.2964
2.9273 8.1222 3.5778
Cs S I
4 1 1
Direct
0.5012 0.9969 0.2922
0.5014 0.9976 0.7041
0.0015 0.4976 0.7040
0.0011 0.4970 0.2922
0.0013 0.9973 0.4981
0.5013 0.4973 0.9982
```

Summary:
As for the density of states at the Fermi level: 0.427 states/eV/atom.



VASP energy readings, ordered: -85.4; -14.7 eV per formula unit
Raw formation energy readings, ordered: -0.72; -0.93 eV per atom